# Sr2UCdO6

Crystalline Sr2UCdO6 at its relaxed geometry (PBE-GGA, the Alexandria database).

Properties
**Polymorph energy (0 for the lowest one)**: 0 meV/atom
**V**: 154.7 Å³/f.u.
**ΔE_f (raw)**: -2.738 eV/atom
**Density**: 6673 kg/m3

abc: 5.9547 6.1181 10.3278
angles: 90.00 124.68 90.00
Space group P2_1/c (No. 14)
Asymmetric unit:
1 Sr 0.2328 0.0494 0.2467 x4
2 U 0.5000 0.0000 0.0000 x2
3 Cd 0.0000 0.0000 0.5000 x2
4 O 0.1682 0.1892 0.9520 x4
5 O 0.2529 0.7211 0.9395 x4
6 O 0.3686 0.0418 0.7656 x4

---

# Sr2UCdO6

Crystalline Sr2UCdO6 at its relaxed geometry (PBE-GGA, the Alexandria database).

Properties
**Polymorph energy (0 for the lowest one)**: 17 meV/atom
**V**: 156.2 Å³/f.u.
**ΔE_f (raw)**: -2.722 eV/atom
**Density**: 6609 kg/m3

abc: 10.4929 6.0172 6.0398
angles: 90.00 124.99 90.00
Space group C2/m (No. 12)
Asymmetric unit:
1 Sr 0.2492 0.0000 0.2257 x4
2 U 0.0000 0.0000 0.5000 x2
3 Cd 0.0000 0.5000 0.0000 x2
4 O 0.0628 0.2405 0.7989 x8
5 O 0.2287 0.0000 0.6183 x4

---

# SrUCd2O6

Crystalline SrUCd2O6 at its relaxed geometry (PBE-GGA, the Alexandria database).

Properties
**V**: 156.3 Å³/f.u.
**ΔE_f (raw)**: -2.277 eV/atom
**Density**: 6870 kg/m3

abc: 5.8632 5.8632 15.7456
angles: 90.00 90.00 120.00
Space group R3 (No. 146, hexagonal axes)
Asymmetric unit:
1 Sr 0.0000 0.0000 0.0000 x3
2 U 0.0000 0.0000 0.4885 x3
3 Cd 0.0000 0.0000 0.2761 x3
4 Cd 0.0000 0.0000 0.7865 x3
5 O 0.0097 0.7283 0.4036 x9
6 O 0.0136 0.3663 0.2244 x9